(1)
Below is an optimized crystal structure of NbGaAs3, with properties calculated at the PBE level.

Cell: 5.034 5.034 5.034 Å, 90.00 90.00 90.00°
Atoms (fractional coordinates):
1 Nb 0.000 0.000 0.000
2 Ga 0.500 0.500 0.500
3 As 0.000 0.000 0.500
4 As 0.000 0.500 0.000
5 As 0.500 0.000 0.000

Output
calculated formation energy: 0.24 eV/atom
VASP energy: -5.17 eV/atom
space group: Pm-3m
total magnetic moment: 0.00 μB per formula unit
DOS at the Fermi energy: 3.69 states/eV/f.u.

***

(2)
Below is an optimized crystal structure of Nb3GaAs, with properties calculated at the PBE level.

Cell: 7.543 7.543 9.720 Å, 98.64 98.64 39.63°
Atoms (fractional coordinates):
1 Nb 0.177 0.225 0.276
2 Nb 0.178 0.707 0.979
3 Nb 0.225 0.177 0.776
4 Nb 0.293 0.822 0.521
5 Nb 0.399 0.411 0.226
6 Nb 0.411 0.399 0.726
7 Nb 0.589 0.601 0.274
8 Nb 0.601 0.589 0.774
9 Nb 0.707 0.178 0.479
10 Nb 0.775 0.823 0.224
11 Nb 0.822 0.293 0.021
12 Nb 0.823 0.775 0.724
13 Ga 0.114 0.590 0.471
14 Ga 0.410 0.886 0.029
15 Ga 0.590 0.114 0.971
16 Ga 0.886 0.410 0.529
17 As 0.000 0.500 0.000
18 As 0.001 0.999 0.250
19 As 0.500 0.000 0.500
20 As 0.999 0.001 0.750

Output
calculated formation energy: -0.20 eV/atom
VASP energy: -7.77 eV/atom
space group: C2/c
total magnetic moment: 0.00 μB per formula unit
DOS at the Fermi energy: 2.92 states/eV/f.u.